Compound: RbLa2AlAu
Source: Alexandria
Functional: GGA-PBE
Structure: relaxed

Cell: 5.828 6.113 5.828 Å, 90.00 90.00 90.00°
Fractional coordinates of all 5 atoms:
Rb 0.000 0.500 0.000
Au 0.000 0.000 0.000
Al 0.500 0.500 0.500
La 0.000 0.000 0.500
La 0.500 0.000 0.000

Properties
E: -3.282 eV/atom
total magnetization: 0.944 μB per formula unit
relative energy among the computed polymorphs: 0.0000 eV/atom

Compound: LaAl4RhAu2
Source: Alexandria
Functional: GGA-PBE
Structure: relaxed

Cell: 4.359 4.359 9.539 Å, 76.79 76.79 60.00°
Fractional coordinates of all 8 atoms:
Al 0.863 0.863 0.411
Al 0.407 0.407 0.778
Al 0.593 0.593 0.222
Al 0.137 0.137 0.589
Au 0.758 0.758 0.727
Au 0.242 0.242 0.273
Rh 0.500 0.500 0.500
La 0.000 0.000 0.000

Properties
E: -4.859 eV/atom
total magnetization: 0.000 μB per formula unit

Compound: La2AlRhAu
Source: Alexandria
Functional: GGA-PBE
Structure: relaxed

Cell: 5.682 4.570 5.682 Å, 90.00 90.00 90.00°
Fractional coordinates of all 5 atoms:
Rh 0.500 0.500 0.500
La 0.500 0.000 0.000
La 0.000 0.000 0.500
Al 0.000 0.000 0.000
Au 0.000 0.500 0.000

Properties
E: -4.599 eV/atom
total magnetization: 0.000 μB per formula unit

Compound: La2Al4RhAu3
Source: Alexandria
Functional: GGA-PBE
Structure: relaxed

Cell: 4.406 4.406 10.580 Å, 90.00 90.00 90.00°
Fractional coordinates of all 10 atoms:
Al 0.500 0.500 0.000
Al 0.000 0.500 0.378
Al 0.500 0.000 0.622
Al 0.000 0.000 0.000
Au 0.500 0.000 0.865
Au 0.000 0.500 0.135
Au 0.000 0.000 0.500
La 0.500 0.000 0.253
La 0.000 0.500 0.747
Rh 0.500 0.500 0.500

Properties
E: -4.986 eV/atom
total magnetization: 0.000 μB per formula unit

Compound: La2AlRuAu
Source: Alexandria
Functional: GGA-PBE
Structure: relaxed

Cell: 5.416 5.416 4.791 Å, 90.00 90.00 90.00°
Fractional coordinates of all 5 atoms:
La 0.000 0.500 0.000
La 0.500 0.000 0.000
Al 0.000 0.000 0.500
Au 0.500 0.500 0.500
Ru 0.000 0.000 0.000

Properties
E: -5.641 eV/atom
total magnetization: 0.000 μB per formula unit

Compound: La2Al4RuAu3
Source: Alexandria
Functional: GGA-PBE
Structure: relaxed

Cell: 4.369 4.369 10.700 Å, 90.00 90.00 90.00°
Fractional coordinates of all 10 atoms:
Al 0.500 0.000 0.623
Al 0.500 0.500 0.000
Al 0.000 0.000 0.000
Al 0.000 0.500 0.377
Ru 0.500 0.500 0.500
La 0.500 0.000 0.255
La 0.000 0.500 0.745
Au 0.000 0.000 0.500
Au 0.000 0.500 0.135
Au 0.500 0.000 0.865

Properties
E: -5.094 eV/atom
total magnetization: 0.000 μB per formula unit

Compound: La2Al4SbAu3
Source: Alexandria
Functional: GGA-PBE
Structure: relaxed

Cell: 4.541 4.541 10.602 Å, 90.00 90.00 90.00°
Fractional coordinates of all 10 atoms:
Al 0.000 0.000 0.000
Al 0.500 0.000 0.645
Al 0.000 0.500 0.355
Al 0.500 0.500 0.000
Au 0.000 0.000 0.500
Au 0.500 0.000 0.878
Au 0.000 0.500 0.122
Sb 0.500 0.500 0.500
La 0.500 0.000 0.245
La 0.000 0.500 0.755

Properties
E: -4.568 eV/atom
total magnetization: 0.000 μB per formula unit
E_form (uncorrected): -0.690 eV per atom

Compound: La2AlSbAu6
Source: Alexandria
Functional: GGA-PBE
Structure: relaxed

Cell: 8.127 7.097 7.799 Å, 73.37 38.46 94.97°
Fractional coordinates of all 10 atoms:
Au 0.504 0.558 0.658
Au 0.496 0.442 0.342
Au 0.739 0.908 0.847
Au 0.845 0.318 0.815
Au 0.155 0.682 0.185
Au 0.261 0.092 0.153
La 0.239 0.788 0.565
La 0.761 0.212 0.435
Al 0.500 0.500 0.000
Sb 0.000 0.000 0.000

Properties
E: -4.337 eV/atom
total magnetization: 0.000 μB per formula unit
E_form (uncorrected): -0.599 eV per atom

Compound: La2ScAl4Au3
Source: Alexandria
Functional: GGA-PBE
Structure: relaxed

Cell: 4.372 4.372 11.458 Å, 90.00 90.00 90.00°
Fractional coordinates of all 10 atoms:
La 0.500 0.000 0.241
La 0.000 0.500 0.759
Al 0.500 0.000 0.653
Al 0.000 0.500 0.347
Al 0.500 0.500 0.000
Al 0.000 0.000 0.000
Au 0.500 0.000 0.875
Au 0.000 0.000 0.500
Au 0.000 0.500 0.125
Sc 0.500 0.500 0.500

Properties
E: -4.769 eV/atom
total magnetization: 0.000 μB per formula unit

Compound: LaScAlAu
Source: Alexandria
Functional: GGA-PBE
Structure: relaxed

Cell: 5.141 5.141 5.141 Å, 60.00 60.00 60.00°
Fractional coordinates of all 4 atoms:
La 0.750 0.750 0.750
Sc 0.250 0.250 0.250
Al 0.500 0.500 0.500
Au 0.000 0.000 0.000

Properties
E: -5.042 eV/atom
total magnetization: 0.014 μB per formula unit

Compound: La2AlAuSe5
Source: Alexandria
Functional: GGA-PBE
Structure: relaxed

Cell: 4.198 9.677 11.711 Å, 90.00 90.00 102.53°
Fractional coordinates of all 18 atoms:
Se 0.323 0.646 0.637
Se 0.037 0.075 0.048
Se 0.492 0.985 0.287
Se 0.368 0.735 0.988
Se 0.508 0.015 0.787
Se 0.314 0.627 0.331
Se 0.677 0.354 0.137
Se 0.632 0.265 0.488
Se 0.686 0.373 0.831
Se 0.963 0.925 0.548
La 0.111 0.223 0.680
La 0.887 0.774 0.794
La 0.889 0.777 0.180
La 0.113 0.226 0.294
Au 0.748 0.497 0.593
Au 0.252 0.503 0.093
Al 0.589 0.178 0.966
Al 0.411 0.822 0.466

Properties
E: -5.150 eV/atom
total magnetization: 0.000 μB per formula unit
E_form (uncorrected): -1.339 eV per atom

Compound: La2Al3SiAu4
Source: Alexandria
Functional: GGA-PBE
Structure: relaxed

Cell: 4.480 4.480 10.356 Å, 90.00 90.00 90.00°
Fractional coordinates of all 10 atoms:
Al 0.000 0.500 0.130
Al 0.000 0.000 0.500
Al 0.500 0.000 0.870
La 0.500 0.000 0.254
La 0.000 0.500 0.746
Au 0.000 0.000 0.000
Au 0.000 0.500 0.376
Au 0.500 0.000 0.624
Au 0.500 0.500 0.000
Si 0.500 0.500 0.500

Properties
E: -4.681 eV/atom
total magnetization: 0.000 μB per formula unit
E_form (uncorrected): -0.720 eV per atom